# 1
DFT (PBE) results for a relaxed structure of YTl4.

a = 6.7792 Å, b = 6.7792 Å, c = 6.6577 Å
α = 90.00°, β = 90.00°, γ = 90.00°
Space group P-42_1c (No. 114)
One atom of each set of equivalent atoms:
Y 0.0000 0.0000 0.0000 [2 per cell]
Tl 0.0864 0.2849 0.3780 [8 per cell]

Calculated values
Formation energy from the elements: 5 meV per atom
Fermi-level density of states: 0.6957 states/eV per atom
Magnetization: 0.0000 μB/atom
Offset from the most stable computed form: 109.1 meV/atom

---

# 2
DFT (PBE) results for a relaxed structure of Y7Tl.

a = 9.9876 Å, b = 9.9876 Å, c = 9.9876 Å
α = 90.00°, β = 90.00°, γ = 90.00°
Space group Fm-3m (No. 225)
One atom of each set of equivalent atoms:
Y 0.0000 0.0000 0.0000 [4 per cell]
Y 0.0000 0.2500 0.2500 [24 per cell]
Tl 0.0000 0.0000 0.5000 [4 per cell]

Calculated values
Formation energy from the elements: -41 meV per atom
Fermi-level density of states: 1.4337 states/eV per atom
Magnetization: 0.0000 μB/atom